The following is a GGA-PBE calculation of a relaxed SrCaW2 crystal, from Alexandria via LeMat-Bulk.

It has space group I-42d (No. 122), with a = 8.512 Å, b = 8.512 Å, c = 5.446 Å, α = 90.00°, β = 90.00° and γ = 90.00°. The asymmetric unit holds Sr at (0.000, 0.000, 0.000), Ca at (0.000, 0.000, 0.500) and W at (0.241, 0.250, 0.625).

The excess energy over the best structure of this formula in the dataset is 5.16 eV/f.u. As for the magnetic moment: 3.34 μB per cell. For the formation enthalpy at 0 K, the calculation gives 1868 meV per atom. The volume comes out at 24.66 Å³ per atom.